Entry 1:
Entry from Alexandria: an optimized crystal structure of PmPuZn (PBE). Values from VASP.

Structure (Quantum ESPRESSO input):
```
&SYSTEM
  ibrav = 0, nat = 6, ntyp = 3
/
ATOMIC_SPECIES
Zn 65.41 Zn.upf
Pm 145.00 Pm.upf
Pu 244.00 Pu.upf
CELL_PARAMETERS angstrom
2.984 0.000 0.000
0.000 4.074 0.000
-1.492 0.000 11.006
ATOMIC_POSITIONS angstrom
Zn 0.000 1.018 10.290
Zn 1.492 3.055 0.716
Pm 1.492 3.055 8.488
Pm 0.000 1.018 2.518
Pu 1.492 1.018 5.595
Pu 0.000 3.055 5.411
```

Summary:
The value obtained for the calculated formation energy is 0.28 eV/atom. The total energy is -0.239 Ha/atom. The calculation puts the density of states at the Fermi level at 1.8774 states/eV per atom. The calculation puts the energy above the most stable polymorph in this dataset at 316.9 meV per atom.



Entry 2:
Entry from Alexandria: an optimized crystal structure of Sc2SnPt (PBE). Values from VASP.

Structure (Quantum ESPRESSO input):
```
&SYSTEM
  ibrav = 0, nat = 4, ntyp = 3
/
ATOMIC_SPECIES
Sc 44.96 Sc.upf
Sn 118.71 Sn.upf
Pt 195.08 Pt.upf
CELL_PARAMETERS angstrom
-3.891 -0.485 -0.209
-0.168 -0.578 4.466
-0.583 4.435 0.552
ATOMIC_POSITIONS angstrom
Sc -0.291 2.217 0.276
Sc -0.084 -0.289 2.233
Sn -1.946 -0.243 -0.105
Pt -2.321 1.686 2.405
```

Summary:
The value obtained for the calculated formation energy is -0.85 eV/atom. The total energy is -0.240 Ha/atom. The calculation puts the density of states at the Fermi level at 0.6900 states/eV per atom.



Entry 3:
Entry from Alexandria: an optimized crystal structure of Ir4W (PBE). Values from VASP.

Structure (Quantum ESPRESSO input):
```
&SYSTEM
  ibrav = 0, nat = 5, ntyp = 2
/
ATOMIC_SPECIES
Ir 192.22 Ir.upf
W 183.84 W.upf
CELL_PARAMETERS angstrom
4.674 0.000 0.000
0.000 4.674 0.000
0.000 0.000 4.674
ATOMIC_POSITIONS angstrom
Ir 0.000 0.000 0.000
Ir 2.337 0.000 2.337
Ir 0.000 2.337 2.337
Ir 2.337 2.337 0.000
W 2.337 2.337 2.337
```

Summary:
The value obtained for the calculated formation energy is 2.09 eV/atom. The total energy is -0.279 Ha/atom. The calculation puts the density of states at the Fermi level at 1.8452 states/eV per atom.



Entry 4:
Entry from Alexandria: an optimized crystal structure of TaReAu4 (PBE). Values from VASP.

Structure (Quantum ESPRESSO input):
```
&SYSTEM
  ibrav = 0, nat = 6, ntyp = 3
/
ATOMIC_SPECIES
Ta 180.95 Ta.upf
Re 186.21 Re.upf
Au 196.97 Au.upf
CELL_PARAMETERS angstrom
0.000 3.772 3.772
3.772 0.000 3.772
3.772 3.772 0.000
ATOMIC_POSITIONS angstrom
Ta 0.000 0.000 0.000
Re 5.658 5.658 5.658
Au 2.829 4.715 4.715
Au 4.715 4.715 2.829
Au 4.715 2.829 4.715
Au 2.829 2.829 2.829
```

Summary:
The value obtained for the calculated formation energy is 0.70 eV/atom. The total energy is -0.203 Ha/atom. The calculation puts the density of states at the Fermi level at 1.3914 states/eV per atom.



Entry 5:
Entry from Alexandria: an optimized crystal structure of TlBiO2 (PBE). Values from VASP.

Structure (Quantum ESPRESSO input):
```
&SYSTEM
  ibrav = 0, nat = 4, ntyp = 3
/
ATOMIC_SPECIES
Tl 204.38 Tl.upf
Bi 208.98 Bi.upf
O 16.00 O.upf
CELL_PARAMETERS angstrom
-1.374 3.244 0.922
-3.492 0.283 0.993
0.062 0.121 6.859
ATOMIC_POSITIONS angstrom
Tl -2.402 1.824 4.387
Bi 0.000 0.000 0.000
O -1.302 0.975 1.820
O -3.502 2.672 6.955
```

Summary:
The total energy is -0.181 Ha/atom. The calculation puts the uncorrected formation energy at -0.89 eV/atom. The calculation puts the density of states at the Fermi level at 0.0292 states/eV per atom. The calculation puts the energy above the most stable polymorph in this dataset at 0.3 meV per atom.



Entry 6:
Entry from Alexandria: an optimized crystal structure of Cu2SiIr2 (PBE). Values from VASP.

Structure (Quantum ESPRESSO input):
```
&SYSTEM
  ibrav = 0, nat = 5, ntyp = 3
/
ATOMIC_SPECIES
Si 28.09 Si.upf
Ir 192.22 Ir.upf
Cu 63.55 Cu.upf
CELL_PARAMETERS angstrom
3.108 0.000 0.000
0.000 3.108 0.000
1.554 1.554 7.118
ATOMIC_POSITIONS angstrom
Si 0.000 0.000 0.000
Ir 1.554 1.554 1.365
Ir 3.108 3.108 5.753
Cu 3.108 1.554 3.559
Cu 1.554 3.108 3.559
```

Summary:
The total energy is -0.226 Ha/atom. The calculation puts the uncorrected formation energy at 0.12 eV/atom. The calculation puts the density of states at the Fermi level at 0.5165 states/eV per atom. The calculation puts the energy above the most stable polymorph in this dataset at 220.7 meV per atom.



Q: What is the density of states at the Fermi level in the second record?
A: 0.6900 states/eV per atom



Q: density of states at the Fermi level of number 2 (Sc2SnPt)?
A: 0.6900 states/eV per atom



Q: Look up the density of states at the Fermi level of the fourth one.
A: 1.3914 states/eV per atom



Q: What is the density of states at the Fermi level in the fourth record?
A: 1.3914 states/eV per atom